Record 1
Material: Li3InCl
Method: DFT, PBE-GGA
State: relaxed

Output
Density ... 1.81 g cm⁻³
Total magnetization ... 3.00 μB per formula unit
V ... 157.4 Å³ per cell
Formation energy from raw total energies ... -24 kJ/mol of formula units

The structure in POSCAR format:
```
Li3InCl
1.0
-4.656 -2.423 -1.265
2.407 -4.819 0.369
-1.295 -0.246 5.236
Cl Li In
1 3 1
Direct
0.500 0.500 0.500
0.000 0.500 0.000
0.000 0.000 0.500
0.500 0.000 0.000
0.000 0.000 0.000
```

***

Record 2
Material: LiIn2Cl3
Method: DFT, PBE-GGA
State: relaxed

Output
Density ... 3.29 g cm⁻³
Total magnetization ... 0.00 μB per formula unit
V ... 693.1 Å³ per cell
Formation energy from raw total energies ... -654 kJ/mol of formula units

The structure in POSCAR format:
```
LiIn2Cl3
1.0
4.280 0.000 0.000
0.000 9.051 0.000
0.000 0.000 17.891
Li In Cl
4 8 12
Direct
0.250 0.358 0.633
0.750 0.642 0.367
0.750 0.142 0.133
0.250 0.858 0.867
0.250 0.260 0.966
0.750 0.740 0.034
0.750 0.240 0.466
0.250 0.760 0.534
0.750 0.059 0.720
0.250 0.941 0.280
0.250 0.441 0.220
0.750 0.559 0.780
0.250 0.309 0.763
0.750 0.691 0.237
0.750 0.191 0.263
0.250 0.809 0.737
0.750 0.970 0.897
0.250 0.030 0.103
0.250 0.530 0.397
0.750 0.470 0.603
0.250 0.128 0.569
0.750 0.872 0.431
0.750 0.372 0.069
0.250 0.628 0.931
```

***

Record 3
Material: LiIn4Cl
Method: DFT, PBE-GGA
State: relaxed

Output
Density ... 4.93 g cm⁻³
Total magnetization ... 0.00 μB per formula unit
V ... 168.9 Å³ per cell
Formation energy from raw total energies ... -56 kJ/mol of formula units

The structure in POSCAR format:
```
LiIn4Cl
1.0
5.471 1.275 2.634
0.962 5.537 2.628
0.437 0.471 6.171
Li In Cl
1 4 1
Direct
0.750 0.750 0.750
0.875 0.375 0.375
0.375 0.375 0.875
0.375 0.875 0.375
0.375 0.375 0.375
0.000 0.000 0.000
```